(1)
First-principles (GGA-PBE) data for a relaxed AsOsBr crystal, as listed in Alexandria via LeMat-Bulk. Values from VASP.

Properties
space-group type = No. 156
V = 22.44 Å³/atom
magnetic moment = 0.000 μB/atom
polymorph energy (0 for the lowest one) = 0.176 eV per atom

The structure in Quantum ESPRESSO input format:
```
&SYSTEM
  ibrav = 0, nat = 3, ntyp = 3
/
ATOMIC_SPECIES
As 74.92 As.upf
Os 190.23 Os.upf
Br 79.90 Br.upf
ATOMIC_POSITIONS crystal
As 0.000 0.000 0.000
Os 0.667 0.333 0.784
Br 0.333 0.667 0.511
CELL_PARAMETERS angstrom
3.152 0.000 0.000
-1.576 2.730 0.000
0.000 0.000 7.823
```

=====

(2)
First-principles (GGA-PBE) data for a relaxed Ho4TlSnN crystal, as listed in Alexandria via LeMat-Bulk. Values from VASP.

Properties
space-group type = No. 63
V = 25.01 Å³/atom
magnetic moment = 0.000 μB/atom

The structure in Quantum ESPRESSO input format:
```
&SYSTEM
  ibrav = 0, nat = 14, ntyp = 4
/
ATOMIC_SPECIES
Ho 164.93 Ho.upf
Tl 204.38 Tl.upf
Sn 118.71 Sn.upf
N 14.01 N.upf
ATOMIC_POSITIONS crystal
Ho 0.000 0.500 0.000
Ho 0.000 0.500 0.500
Ho 0.088 0.912 0.750
Ho 0.410 0.590 0.750
Ho 0.500 0.000 0.000
Ho 0.500 0.000 0.500
Ho 0.590 0.410 0.250
Ho 0.912 0.088 0.250
Tl 0.109 0.891 0.250
Tl 0.891 0.109 0.750
Sn 0.391 0.609 0.250
Sn 0.609 0.391 0.750
N 0.251 0.749 0.750
N 0.749 0.251 0.250
CELL_PARAMETERS angstrom
3.313 -7.978 0.000
3.313 7.978 0.000
0.000 0.000 6.625
```

=====

(3)
First-principles (GGA-PBE) data for a relaxed AgPb2I2 crystal, as listed in Alexandria via LeMat-Bulk. Values from VASP.

Properties
space-group type = No. 127
V = 34.27 Å³/atom
magnetic moment = 0.000 μB/atom

The structure in Quantum ESPRESSO input format:
```
&SYSTEM
  ibrav = 0, nat = 10, ntyp = 3
/
ATOMIC_SPECIES
Ag 107.87 Ag.upf
Pb 207.20 Pb.upf
I 126.90 I.upf
ATOMIC_POSITIONS crystal
Ag 0.000 0.000 0.000
Ag 0.500 0.500 0.000
Pb 0.167 0.333 0.000
Pb 0.333 0.833 0.000
Pb 0.667 0.167 0.000
Pb 0.833 0.667 0.000
I 0.177 0.677 0.500
I 0.323 0.177 0.500
I 0.677 0.823 0.500
I 0.823 0.323 0.500
CELL_PARAMETERS angstrom
7.982 0.000 0.000
0.000 7.982 0.000
0.000 0.000 5.379
```

=====

(4)
First-principles (GGA-PBE) data for a relaxed Cd2HgICl crystal, as listed in Alexandria via LeMat-Bulk. Values from VASP.

Properties
space-group type = No. 123
V = 36.88 Å³/atom
magnetic moment = 0.000 μB/atom
polymorph energy (0 for the lowest one) = 0.006 eV per atom

The structure in Quantum ESPRESSO input format:
```
&SYSTEM
  ibrav = 0, nat = 5, ntyp = 4
/
ATOMIC_SPECIES
Cd 112.41 Cd.upf
Hg 200.59 Hg.upf
I 126.90 I.upf
Cl 35.45 Cl.upf
ATOMIC_POSITIONS crystal
Cd 0.000 0.500 0.000
Cd 0.500 0.000 0.000
Hg 0.000 0.000 0.500
I 0.500 0.500 0.500
Cl 0.000 0.000 0.000
CELL_PARAMETERS angstrom
5.465 0.000 0.000
0.000 5.465 0.000
0.000 0.000 6.174
```

=====

(5)
First-principles (GGA-PBE) data for a relaxed RbTePtI2 crystal, as listed in Alexandria via LeMat-Bulk. Values from VASP.

Properties
space-group type = No. 123
V = 35.73 Å³/atom
magnetic moment = 0.192 μB/atom
polymorph energy (0 for the lowest one) = 0.000 eV per atom

The structure in Quantum ESPRESSO input format:
```
&SYSTEM
  ibrav = 0, nat = 5, ntyp = 4
/
ATOMIC_SPECIES
Rb 85.47 Rb.upf
Te 127.60 Te.upf
Pt 195.08 Pt.upf
I 126.90 I.upf
ATOMIC_POSITIONS crystal
Rb 0.000 0.000 0.000
Te 0.500 0.500 0.000
Pt 0.500 0.500 0.500
I 0.000 0.500 0.500
I 0.500 0.000 0.500
CELL_PARAMETERS angstrom
5.821 0.000 0.000
0.000 5.821 0.000
0.000 0.000 5.272
```

=====

(6)
First-principles (GGA-PBE) data for a relaxed DyTh3Pd12 crystal, as listed in Alexandria via LeMat-Bulk. Values from VASP.

Properties
space-group type = No. 123
V = 18.46 Å³/atom
magnetic moment = 0.000 μB/atom

The structure in Quantum ESPRESSO input format:
```
&SYSTEM
  ibrav = 0, nat = 16, ntyp = 3
/
ATOMIC_SPECIES
Dy 162.50 Dy.upf
Th 232.04 Th.upf
Pd 106.42 Pd.upf
ATOMIC_POSITIONS crystal
Dy 0.000 0.000 0.000
Th 0.000 0.000 0.245
Th 0.000 0.000 0.500
Th 0.000 0.000 0.755
Pd 0.000 0.500 0.123
Pd 0.000 0.500 0.374
Pd 0.000 0.500 0.626
Pd 0.000 0.500 0.877
Pd 0.500 0.000 0.123
Pd 0.500 0.000 0.374
Pd 0.500 0.000 0.626
Pd 0.500 0.000 0.877
Pd 0.500 0.500 0.000
Pd 0.500 0.500 0.249
Pd 0.500 0.500 0.500
Pd 0.500 0.500 0.751
CELL_PARAMETERS angstrom
4.193 0.000 0.000
0.000 4.193 0.000
0.000 0.000 16.800
```

=====

(7)
First-principles (GGA-PBE) data for a relaxed Cu2PbSe crystal, as listed in Alexandria via LeMat-Bulk. Values from VASP.

Properties
space-group type = No. 47
V = 19.43 Å³/atom
magnetic moment = 0.000 μB/atom

The structure in Quantum ESPRESSO input format:
```
&SYSTEM
  ibrav = 0, nat = 4, ntyp = 3
/
ATOMIC_SPECIES
Cu 63.55 Cu.upf
Pb 207.20 Pb.upf
Se 78.96 Se.upf
ATOMIC_POSITIONS crystal
Cu 0.000 0.000 0.000
Cu 0.500 0.000 0.500
Pb 0.000 0.500 0.500
Se 0.500 0.500 0.000
CELL_PARAMETERS angstrom
3.804 0.000 0.000
0.000 3.933 0.000
0.000 0.000 5.194
```

=====

(8)
First-principles (GGA-PBE) data for a relaxed LaHoTh crystal, as listed in Alexandria via LeMat-Bulk. Values from VASP.

Properties
space-group type = No. 12
V = 33.35 Å³/atom
magnetic moment = 0.000 μB/atom
polymorph energy (0 for the lowest one) = 0.000 eV per atom

The structure in Quantum ESPRESSO input format:
```
&SYSTEM
  ibrav = 0, nat = 12, ntyp = 3
/
ATOMIC_SPECIES
La 138.91 La.upf
Ho 164.93 Ho.upf
Th 232.04 Th.upf
ATOMIC_POSITIONS crystal
La 0.195 0.000 0.090
La 0.305 0.500 0.910
La 0.695 0.500 0.090
La 0.805 0.000 0.910
Ho 0.080 0.000 0.741
Ho 0.420 0.500 0.259
Ho 0.580 0.500 0.741
Ho 0.920 0.000 0.259
Th 0.140 0.500 0.420
Th 0.360 0.000 0.580
Th 0.640 0.000 0.420
Th 0.860 0.500 0.580
CELL_PARAMETERS angstrom
6.235 0.000 0.000
0.000 3.600 0.000
-2.088 0.000 17.829
```

=====

(9)
First-principles (GGA-PBE) data for a relaxed LaScTa crystal, as listed in Alexandria via LeMat-Bulk. Values from VASP.

Properties
space-group type = No. 107
V = 24.71 Å³/atom
magnetic moment = 0.000 μB/atom
polymorph energy (0 for the lowest one) = 0.146 eV per atom

The structure in Quantum ESPRESSO input format:
```
&SYSTEM
  ibrav = 0, nat = 6, ntyp = 3
/
ATOMIC_SPECIES
La 138.91 La.upf
Sc 44.96 Sc.upf
Ta 180.95 Ta.upf
ATOMIC_POSITIONS crystal
La 0.000 0.000 0.000
La 0.500 0.500 0.500
Sc 0.000 0.000 0.694
Sc 0.500 0.500 0.194
Ta 0.000 0.000 0.324
Ta 0.500 0.500 0.824
CELL_PARAMETERS angstrom
3.777 0.000 0.000
0.000 3.777 0.000
0.000 0.000 10.395
```

=====

(10)
First-principles (GGA-PBE) data for a relaxed TaGeSN2 crystal, as listed in Alexandria via LeMat-Bulk. Values from VASP.

Properties
space-group type = No. 123
V = 16.41 Å³/atom
magnetic moment = 0.081 μB/atom
polymorph energy (0 for the lowest one) = 0.000 eV per atom

The structure in Quantum ESPRESSO input format:
```
&SYSTEM
  ibrav = 0, nat = 5, ntyp = 4
/
ATOMIC_SPECIES
Ta 180.95 Ta.upf
Ge 72.64 Ge.upf
S 32.06 S.upf
N 14.01 N.upf
ATOMIC_POSITIONS crystal
Ta 0.000 0.000 0.000
Ge 0.500 0.500 0.500
S 0.000 0.000 0.500
N 0.000 0.500 0.000
N 0.500 0.000 0.000
CELL_PARAMETERS angstrom
4.009 0.000 0.000
0.000 4.009 0.000
0.000 0.000 5.106
```

=====

(11)
First-principles (GGA-PBE) data for a relaxed La5Tl4Ga crystal, as listed in Alexandria via LeMat-Bulk. Values from VASP.

Properties
space-group type = No. 123
V = 30.68 Å³/atom
magnetic moment = 0.000 μB/atom

The structure in Quantum ESPRESSO input format:
```
&SYSTEM
  ibrav = 0, nat = 10, ntyp = 3
/
ATOMIC_SPECIES
La 138.91 La.upf
Tl 204.38 Tl.upf
Ga 69.72 Ga.upf
ATOMIC_POSITIONS crystal
La 0.000 0.000 0.000
La 0.000 0.000 0.206
La 0.000 0.000 0.411
La 0.000 0.000 0.589
La 0.000 0.000 0.794
Tl 0.500 0.500 0.103
Tl 0.500 0.500 0.308
Tl 0.500 0.500 0.692
Tl 0.500 0.500 0.897
Ga 0.500 0.500 0.500
CELL_PARAMETERS angstrom
3.869 0.000 0.000
0.000 3.869 0.000
0.000 0.000 20.492
```

=====

(12)
First-principles (GGA-PBE) data for a relaxed SrInN2F crystal, as listed in Alexandria via LeMat-Bulk. Values from VASP.

Properties
space-group type = No. 123
V = 24.35 Å³/atom
magnetic moment = 0.800 μB/atom
polymorph energy (0 for the lowest one) = 0.751 eV per atom

The structure in Quantum ESPRESSO input format:
```
&SYSTEM
  ibrav = 0, nat = 5, ntyp = 4
/
ATOMIC_SPECIES
Sr 87.62 Sr.upf
In 114.82 In.upf
N 14.01 N.upf
F 19.00 F.upf
ATOMIC_POSITIONS crystal
Sr 0.000 0.000 0.000
In 0.500 0.500 0.500
N 0.000 0.500 0.000
N 0.500 0.000 0.000
F 0.000 0.000 0.500
CELL_PARAMETERS angstrom
5.120 0.000 0.000
0.000 5.120 0.000
0.000 0.000 4.644
```

=====

(13)
First-principles (GGA-PBE) data for a relaxed BeCdHRh2 crystal, as listed in Alexandria via LeMat-Bulk. Values from VASP.

Properties
space-group type = No. 123
V = 11.83 Å³/atom
magnetic moment = 0.000 μB/atom

The structure in Quantum ESPRESSO input format:
```
&SYSTEM
  ibrav = 0, nat = 5, ntyp = 4
/
ATOMIC_SPECIES
Be 9.01 Be.upf
Cd 112.41 Cd.upf
H 1.01 H.upf
Rh 102.91 Rh.upf
ATOMIC_POSITIONS crystal
Be 0.000 0.000 0.000
Cd 0.500 0.500 0.000
H 0.000 0.000 0.500
Rh 0.000 0.500 0.500
Rh 0.500 0.000 0.500
CELL_PARAMETERS angstrom
4.093 0.000 0.000
0.000 4.093 0.000
0.000 0.000 3.532
```

=====

(14)
First-principles (GGA-PBE) data for a relaxed Cs2UHgS5 crystal, as listed in Alexandria via LeMat-Bulk. Values from VASP.

Properties
space-group type = No. 36
V = 34.24 Å³/atom
magnetic moment = 0.004 μB/atom

The structure in Quantum ESPRESSO input format:
```
&SYSTEM
  ibrav = 0, nat = 18, ntyp = 4
/
ATOMIC_SPECIES
Cs 132.91 Cs.upf
U 238.03 U.upf
Hg 200.59 Hg.upf
S 32.06 S.upf
ATOMIC_POSITIONS crystal
Cs 0.119 0.881 0.500
Cs 0.127 0.873 0.121
Cs 0.873 0.127 0.621
Cs 0.881 0.119 0.000
U 0.209 0.791 0.824
U 0.791 0.209 0.324
Hg 0.439 0.561 0.248
Hg 0.561 0.439 0.748
S 0.086 0.914 0.856
S 0.286 0.714 0.438
S 0.298 0.702 0.207
S 0.325 0.675 0.813
S 0.494 0.506 0.105
S 0.506 0.494 0.605
S 0.675 0.325 0.313
S 0.702 0.298 0.707
S 0.714 0.286 0.938
S 0.914 0.086 0.356
CELL_PARAMETERS angstrom
2.048 -10.421 0.000
2.048 10.421 0.000
0.000 0.000 14.438
```

=====

(15)
First-principles (GGA-PBE) data for a relaxed KBa2GaS4 crystal, as listed in Alexandria via LeMat-Bulk. Values from VASP.

Properties
space-group type = No. 15
V = 29.74 Å³/atom
magnetic moment = 0.000 μB/atom

The structure in Quantum ESPRESSO input format:
```
&SYSTEM
  ibrav = 0, nat = 16, ntyp = 4
/
ATOMIC_SPECIES
K 39.10 K.upf
Ba 137.33 Ba.upf
Ga 69.72 Ga.upf
S 32.06 S.upf
ATOMIC_POSITIONS crystal
K 0.000 0.000 0.000
K 0.000 0.000 0.500
Ba 0.000 0.500 0.000
Ba 0.500 0.000 0.500
Ba 0.500 0.500 0.000
Ba 0.500 0.500 0.500
Ga 0.000 0.500 0.500
Ga 0.500 0.000 0.000
S 0.189 0.315 0.503
S 0.248 0.748 0.493
S 0.252 0.752 0.007
S 0.315 0.189 0.003
S 0.685 0.811 0.997
S 0.748 0.248 0.993
S 0.752 0.252 0.507
S 0.811 0.685 0.497
CELL_PARAMETERS angstrom
6.263 -6.030 0.000
6.263 6.030 0.000
-6.025 0.000 6.299
```

=====

(16)
First-principles (GGA-PBE) data for a relaxed TiZnSe2Br crystal, as listed in Alexandria via LeMat-Bulk. Values from VASP.

Properties
space-group type = No. 123
V = 25.55 Å³/atom
magnetic moment = 0.000 μB/atom
polymorph energy (0 for the lowest one) = 0.000 eV per atom

The structure in Quantum ESPRESSO input format:
```
&SYSTEM
  ibrav = 0, nat = 5, ntyp = 4
/
ATOMIC_SPECIES
Ti 47.87 Ti.upf
Zn 65.41 Zn.upf
Se 78.96 Se.upf
Br 79.90 Br.upf
ATOMIC_POSITIONS crystal
Ti 0.000 0.000 0.000
Zn 0.500 0.500 0.500
Se 0.000 0.500 0.000
Se 0.500 0.000 0.000
Br 0.000 0.000 0.500
CELL_PARAMETERS angstrom
4.933 0.000 0.000
0.000 4.933 0.000
0.000 0.000 5.249
```

=====

(17)
First-principles (GGA-PBE) data for a relaxed Ba3NaZr crystal, as listed in Alexandria via LeMat-Bulk. Values from VASP.

Properties
space-group type = No. 221
V = 54.04 Å³/atom
magnetic moment = 0.245 μB/atom
polymorph energy (0 for the lowest one) = 0.000 eV per atom

The structure in Quantum ESPRESSO input format:
```
&SYSTEM
  ibrav = 0, nat = 5, ntyp = 3
/
ATOMIC_SPECIES
Ba 137.33 Ba.upf
Na 22.99 Na.upf
Zr 91.22 Zr.upf
ATOMIC_POSITIONS crystal
Ba 0.000 0.000 0.500
Ba 0.000 0.500 0.000
Ba 0.500 0.000 0.000
Na 0.500 0.500 0.500
Zr 0.000 0.000 0.000
CELL_PARAMETERS angstrom
6.465 0.000 0.000
0.000 6.465 0.000
0.000 0.000 6.465
```

=====

(18)
First-principles (GGA-PBE) data for a relaxed CaZn2Ni9 crystal, as listed in Alexandria via LeMat-Bulk. Values from VASP.

Properties
space-group type = No. 127
V = 12.90 Å³/atom
magnetic moment = 0.297 μB/atom

The structure in Quantum ESPRESSO input format:
```
&SYSTEM
  ibrav = 0, nat = 24, ntyp = 3
/
ATOMIC_SPECIES
Ca 40.08 Ca.upf
Zn 65.41 Zn.upf
Ni 58.69 Ni.upf
ATOMIC_POSITIONS crystal
Ca 0.000 0.000 0.000
Ca 0.500 0.500 0.000
Zn 0.119 0.381 0.000
Zn 0.381 0.881 0.000
Zn 0.619 0.119 0.000
Zn 0.881 0.619 0.000
Ni 0.000 0.500 0.500
Ni 0.064 0.211 0.500
Ni 0.178 0.678 0.243
Ni 0.178 0.678 0.757
Ni 0.211 0.936 0.500
Ni 0.289 0.436 0.500
Ni 0.322 0.178 0.243
Ni 0.322 0.178 0.757
Ni 0.436 0.711 0.500
Ni 0.500 0.000 0.500
Ni 0.564 0.289 0.500
Ni 0.678 0.822 0.243
Ni 0.678 0.822 0.757
Ni 0.711 0.564 0.500
Ni 0.789 0.064 0.500
Ni 0.822 0.322 0.243
Ni 0.822 0.322 0.757
Ni 0.936 0.789 0.500
CELL_PARAMETERS angstrom
8.078 0.000 0.000
0.000 8.078 0.000
0.000 0.000 4.743
```

=====

(19)
First-principles (GGA-PBE) data for a relaxed CaV2CrNi crystal, as listed in Alexandria via LeMat-Bulk. Values from VASP.

Properties
space-group type = No. 123
V = 18.55 Å³/atom
magnetic moment = 0.683 μB/atom

The structure in Quantum ESPRESSO input format:
```
&SYSTEM
  ibrav = 0, nat = 5, ntyp = 4
/
ATOMIC_SPECIES
Ca 40.08 Ca.upf
V 50.94 V.upf
Cr 52.00 Cr.upf
Ni 58.69 Ni.upf
ATOMIC_POSITIONS crystal
Ca 0.000 0.000 0.000
V 0.000 0.500 0.500
V 0.500 0.000 0.500
Cr 0.500 0.500 0.000
Ni 0.500 0.500 0.500
CELL_PARAMETERS angstrom
4.554 0.000 0.000
0.000 4.554 0.000
0.000 0.000 4.471
```

=====

(20)
First-principles (GGA-PBE) data for a relaxed BaAs2C crystal, as listed in Alexandria via LeMat-Bulk. Values from VASP.

Properties
space-group type = No. 122
V = 22.86 Å³/atom
magnetic moment = 0.000 μB/atom

The structure in Quantum ESPRESSO input format:
```
&SYSTEM
  ibrav = 0, nat = 16, ntyp = 3
/
ATOMIC_SPECIES
Ba 137.33 Ba.upf
As 74.92 As.upf
C 12.01 C.upf
ATOMIC_POSITIONS crystal
Ba 0.000 0.000 0.000
Ba 0.000 0.500 0.250
Ba 0.500 0.000 0.750
Ba 0.500 0.500 0.500
As 0.114 0.250 0.625
As 0.250 0.614 0.875
As 0.250 0.886 0.375
As 0.386 0.250 0.125
As 0.614 0.750 0.125
As 0.750 0.114 0.375
As 0.750 0.386 0.875
As 0.886 0.750 0.625
C 0.000 0.000 0.500
C 0.000 0.500 0.750
C 0.500 0.000 0.250
C 0.500 0.500 0.000
CELL_PARAMETERS angstrom
6.921 0.000 0.000
0.000 6.921 0.000
0.000 0.000 7.638
```

=====

| no. | uncorrected energy (eV/atom) |
| --- | --- |
| 1 | -5.436 |
| 2 | -5.577 |
| 3 | -2.749 |
| 4 | -1.052 |
| 5 | -3.081 |
| 6 | -6.521 |
| 7 | -3.596 |
| 8 | -5.613 |
| 9 | -7.277 |
| 10 | -7.337 |
| 11 | -4.165 |
| 12 | -4.276 |
| 13 | -4.591 |
| 14 | -4.740 |
| 15 | -4.300 |
| 16 | -3.926 |
| 17 | -2.541 |
| 18 | -4.842 |
| 19 | -6.158 |
| 20 | -4.923 |